A relaxed AlVSN2 crystal. Source: the Alexandria database, functional PBE.

Results
The value obtained for the energy is -6.5827 eV per atom. The mass density is 3.3 g/cm3. The value obtained for the energy above the most stable polymorph in this dataset is 0 meV/atom. The value obtained for the density of states at the Fermi level is 0.5984 states/eV/atom.

Cell: 3.710 3.710 4.985 Å, 90.00 90.00 90.00°
Element x y z (fractional)
Al  0.000  0.000  0.000
V  0.500  0.500  0.500
S  0.500  0.500  0.000
N  0.000  0.500  0.500
N  0.500  0.000  0.500

***

A relaxed AlVS2N crystal. Source: the Alexandria database, functional PBE.

Results
The value obtained for the energy is -5.9480 eV per atom. The mass density is 3.2 g/cm3. The value obtained for the energy above the most stable polymorph in this dataset is 0 meV/atom. The value obtained for the density of states at the Fermi level is 0.4106 states/eV/atom.

Cell: 4.735 4.735 3.605 Å, 90.00 90.00 90.00°
Element x y z (fractional)
Al  0.000  0.000  0.000
V  0.500  0.500  0.500
S  0.000  0.500  0.500
S  0.500  0.000  0.500
N  0.500  0.500  0.000

***

A relaxed AlWSN2 crystal. Source: the Alexandria database, functional PBE.

Results
The value obtained for the energy is -7.2601 eV per atom. The mass density is 5.9 g/cm3. The value obtained for the density of states at the Fermi level is 0.4460 states/eV/atom.

Cell: 3.902 3.902 4.996 Å, 90.00 90.00 90.00°
Element x y z (fractional)
Al  0.000  0.000  0.000
W  0.500  0.500  0.500
S  0.500  0.500  0.000
N  0.000  0.500  0.500
N  0.500  0.000  0.500

***

A relaxed YAlSN2 crystal. Source: the Alexandria database, functional PBE.

Results
The value obtained for the energy is -6.6798 eV per atom. The mass density is 4.1 g/cm3. The value obtained for the density of states at the Fermi level is 0.4744 states/eV/atom.

Cell: 3.807 3.807 4.931 Å, 90.00 90.00 90.00°
Element x y z (fractional)
Y  0.000  0.000  0.000
Al  0.500  0.500  0.500
S  0.500  0.500  0.000
N  0.000  0.500  0.500
N  0.500  0.000  0.500

***

A relaxed AlZnS2N crystal. Source: the Alexandria database, functional PBE.

Results
The value obtained for the energy is -3.5052 eV per atom. The mass density is 3.2 g/cm3. The value obtained for the energy above the most stable polymorph in this dataset is 486 meV/atom. The value obtained for the density of states at the Fermi level is 0.3805 states/eV/atom.

Cell: 4.836 4.836 3.728 Å, 90.00 90.00 90.00°
Element x y z (fractional)
Al  0.000  0.000  0.000
Zn  0.500  0.500  0.500
S  0.000  0.500  0.500
S  0.500  0.000  0.500
N  0.500  0.500  0.000

***

A relaxed AlZnS2N crystal. Source: the Alexandria database, functional PBE.

Results
The value obtained for the energy is -3.9915 eV per atom. The mass density is 3.4 g/cm3. The value obtained for the energy above the most stable polymorph in this dataset is 0 meV/atom. The value obtained for the density of states at the Fermi level is 1.1643 states/eV/atom.

Cell: 4.784 4.784 3.590 Å, 90.00 90.00 90.00°
Element x y z (fractional)
Al  0.000  0.000  0.000
Zn  0.500  0.500  0.500
S  0.000  0.500  0.000
S  0.500  0.000  0.000
N  0.000  0.000  0.500

***

A relaxed AlZnSN2 crystal. Source: the Alexandria database, functional PBE.

Results
The value obtained for the energy is -3.8690 eV per atom. The mass density is 3.3 g/cm3. The value obtained for the energy above the most stable polymorph in this dataset is 713 meV/atom. The value obtained for the density of states at the Fermi level is 0.3582 states/eV/atom.

Cell: 3.798 3.798 5.368 Å, 90.00 90.00 90.00°
Element x y z (fractional)
Al  0.000  0.000  0.000
Zn  0.500  0.500  0.500
S  0.500  0.500  0.000
N  0.000  0.500  0.500
N  0.500  0.000  0.500

***

A relaxed AlZnSN2 crystal. Source: the Alexandria database, functional PBE.

Results
The value obtained for the energy is -4.5816 eV per atom. The mass density is 3.5 g/cm3. The value obtained for the energy above the most stable polymorph in this dataset is 0 meV/atom. The value obtained for the density of states at the Fermi level is 0.3835 states/eV/atom.

Cell: 3.641 3.641 5.508 Å, 90.00 90.00 90.00°
Element x y z (fractional)
Al  0.000  0.000  0.000
Zn  0.500  0.500  0.500
S  0.000  0.000  0.500
N  0.000  0.500  0.000
N  0.500  0.000  0.000